1.
Below is TaPtCl2 after structural relaxation, with properties calculated at the PBE level.

Output
The relative energy among the computed polymorphs comes out at 826 meV/atom. Its space group is P2/m. The magnetic moment is 0.000 Bohr magnetons per cell. Its crystal system is monoclinic. The density of states at the Fermi level is 0.958 states/eV/atom. The energy relative to the elements, uncorrected comes out at 0.163 eV/atom.

Cell: 3.090 4.423 5.135 Å, 90.00 91.48 90.00°
Positions (direct):
1 Ta 0.000 0.000 0.000
2 Pt 0.500 0.000 0.500
3 Cl 0.202 0.500 0.237
4 Cl 0.798 0.500 0.763

=====

2.
Below is SrMgAgGe after structural relaxation, with properties calculated at the PBE level.

Output
Its space group is F-43m. The magnetic moment is 0.000 Bohr magnetons per cell. Its crystal system is cubic. The density of states at the Fermi level is 0.565 states/eV/atom. For the formation energy, the calculation gives -253.9 meV/atom.

Cell: 5.120 5.120 5.120 Å, 60.00 60.00 60.00°
Positions (direct):
1 Sr 0.000 0.000 0.000
2 Mg 0.500 0.500 0.500
3 Ag 0.750 0.750 0.750
4 Ge 0.250 0.250 0.250

=====

3.
Below is RbAcCl4 after structural relaxation, with properties calculated at the PBE level.

Output
The relative energy among the computed polymorphs comes out at 58 meV/atom. Its space group is Cmmm. The magnetic moment is 0.177 Bohr magnetons per cell. Its crystal system is orthorhombic. The density of states at the Fermi level is 0.000 states/eV/atom. The energy relative to the elements, uncorrected comes out at -2.256 eV/atom.

Cell: 7.339 7.339 4.650 Å, 90.00 90.00 92.02°
Positions (direct):
1 Rb 0.000 0.000 0.000
2 Ac 0.500 0.500 0.500
3 Cl 0.223 0.223 0.500
4 Cl 0.327 0.673 0.000
5 Cl 0.673 0.327 0.000
6 Cl 0.777 0.777 0.500

=====

4.
Below is LiEr2Ni9 after structural relaxation, with properties calculated at the PBE level.

Output
Its space group is R-3m. The magnetic moment is 2.355 Bohr magnetons per cell. Its crystal system is trigonal. The density of states at the Fermi level is 1.050 states/eV/atom. For the formation energy, the calculation gives -244.8 meV/atom.

Cell: 8.442 8.442 8.442 Å, 33.83 33.83 33.83°
Positions (direct):
1 Li 0.000 0.000 0.000
2 Er 0.135 0.135 0.135
3 Er 0.865 0.865 0.865
4 Ni 0.080 0.583 0.583
5 Ni 0.333 0.333 0.333
6 Ni 0.417 0.417 0.920
7 Ni 0.417 0.920 0.417
8 Ni 0.500 0.500 0.500
9 Ni 0.583 0.080 0.583
10 Ni 0.583 0.583 0.080
11 Ni 0.667 0.667 0.667
12 Ni 0.920 0.417 0.417

=====

5.
Below is ZrCoOs2 after structural relaxation, with properties calculated at the PBE level.

Output
The relative energy among the computed polymorphs comes out at 337 meV/atom. Its space group is R3m. The magnetic moment is 1.267 Bohr magnetons per cell. Its crystal system is trigonal. The density of states at the Fermi level is 1.466 states/eV/atom. For the formation energy, the calculation gives 302.4 meV/atom.

Cell: 9.314 9.314 9.314 Å, 17.11 17.11 17.11°
Positions (direct):
1 Zr 0.000 0.000 0.000
2 Co 0.754 0.754 0.754
3 Os 0.239 0.239 0.239
4 Os 0.495 0.495 0.495

=====

6.
Below is K2CrRe after structural relaxation, with properties calculated at the PBE level.

Output
The relative energy among the computed polymorphs comes out at 118 meV/atom. Its space group is Cm. The magnetic moment is 1.917 Bohr magnetons per cell. Its crystal system is monoclinic. The density of states at the Fermi level is 0.716 states/eV/atom. For the formation energy, the calculation gives 978.8 meV/atom.

Cell: 4.346 4.346 10.038 Å, 91.97 91.97 40.53°
Positions (direct):
1 K 0.000 0.000 0.000
2 K 0.219 0.219 0.577
3 Cr 0.749 0.749 0.255
4 Re 0.467 0.467 0.322

=====

7.
Below is Tb2PrDyHo4 after structural relaxation, with properties calculated at the PBE level.

Output
Its space group is C2/c. The magnetic moment is 6.144 Bohr magnetons per cell. Its crystal system is monoclinic. The density of states at the Fermi level is 2.192 states/eV/atom. For the formation energy, the calculation gives 432.6 meV/atom.

Cell: 9.491 9.491 6.796 Å, 110.98 110.98 88.58°
Positions (direct):
1 Tb 0.000 0.000 0.000
2 Tb 0.000 0.000 0.500
3 Tb 0.000 0.500 0.000
4 Tb 0.500 0.000 0.500
5 Pr 0.000 0.500 0.500
6 Pr 0.500 0.000 0.000
7 Dy 0.500 0.500 0.000
8 Dy 0.500 0.500 0.500
9 Ho 0.249 0.252 0.002
10 Ho 0.250 0.749 0.498
11 Ho 0.251 0.750 0.002
12 Ho 0.252 0.249 0.502
13 Ho 0.748 0.751 0.498
14 Ho 0.749 0.250 0.998
15 Ho 0.750 0.251 0.502
16 Ho 0.751 0.748 0.998

=====

8.
Below is Gd2ErBe after structural relaxation, with properties calculated at the PBE level.

Output
The relative energy among the computed polymorphs comes out at 0 meV/atom. Its space group is P4/mmm. The magnetic moment is 14.326 Bohr magnetons per cell. Its crystal system is tetragonal. The density of states at the Fermi level is 1.237 states/eV/atom. For the formation energy, the calculation gives 87.8 meV/atom.

Cell: 3.492 3.492 8.517 Å, 90.00 90.00 90.00°
Positions (direct):
1 Gd 0.000 0.000 0.195
2 Gd 0.000 0.000 0.805
3 Er 0.500 0.500 0.500
4 Be 0.500 0.500 0.000

=====

9.
Below is LaBeIr3 after structural relaxation, with properties calculated at the PBE level.

Output
The relative energy among the computed polymorphs comes out at 2658 meV/atom. Its space group is Pm-3m. The magnetic moment is 0.000 Bohr magnetons per cell. Its crystal system is cubic. The density of states at the Fermi level is 0.957 states/eV/atom. For the formation energy, the calculation gives 2307.3 meV/atom.

Cell: 4.938 4.938 4.938 Å, 90.00 90.00 90.00°
Positions (direct):
1 La 0.000 0.000 0.000
2 Be 0.500 0.500 0.500
3 Ir 0.000 0.000 0.500
4 Ir 0.000 0.500 0.000
5 Ir 0.500 0.000 0.000

=====

10.
Below is Na2In2HgBr6 after structural relaxation, with properties calculated at the PBE level.

Output
Its space group is C2/m. The magnetic moment is 0.000 Bohr magnetons per cell. Its crystal system is monoclinic. The density of states at the Fermi level is 0.000 states/eV/atom. The energy relative to the elements, uncorrected comes out at -0.956 eV/atom.

Cell: 7.216 7.216 8.953 Å, 95.75 95.75 108.45°
Positions (direct):
1 Na 0.202 0.798 0.000
2 Na 0.798 0.202 0.000
3 In 0.055 0.055 0.657
4 In 0.945 0.945 0.343
5 Hg 0.500 0.500 0.500
6 Br 0.035 0.395 0.771
7 Br 0.170 0.170 0.174
8 Br 0.395 0.035 0.771
9 Br 0.605 0.965 0.229
10 Br 0.830 0.830 0.826
11 Br 0.965 0.605 0.229

=====

11.
Below is PaTlAu2O8 after structural relaxation, with properties calculated at the PBE level.

Output
Its space group is I-4m2. The magnetic moment is 1.541 Bohr magnetons per cell. Its crystal system is tetragonal. The density of states at the Fermi level is 0.531 states/eV/atom. The energy relative to the elements, uncorrected comes out at -0.824 eV/atom.

Cell: 6.174 6.174 6.174 Å, 109.87 109.87 108.67°
Positions (direct):
1 Pa 0.000 0.000 0.000
2 Tl 0.250 0.750 0.500
3 Au 0.500 0.500 0.000
4 Au 0.750 0.250 0.500
5 O 0.278 0.108 0.830
6 O 0.278 0.448 0.170
7 O 0.341 0.027 0.314
8 O 0.552 0.722 0.830
9 O 0.712 0.027 0.686
10 O 0.892 0.722 0.170
11 O 0.973 0.288 0.314
12 O 0.973 0.659 0.686

=====

12.
Below is CeTmTlAg after structural relaxation, with properties calculated at the PBE level.

Output
Its space group is F-43m. The magnetic moment is 1.215 Bohr magnetons per cell. Its crystal system is cubic. The density of states at the Fermi level is 2.625 states/eV/atom. For the formation energy, the calculation gives -211.8 meV/atom.

Cell: 5.317 5.317 5.317 Å, 60.00 60.00 60.00°
Positions (direct):
1 Ce 0.000 0.000 0.000
2 Tm 0.500 0.500 0.500
3 Tl 0.750 0.750 0.750
4 Ag 0.250 0.250 0.250